(1)
# SrNb2O8

A geometry-optimized SrNb2O8 structure (GGA-PBE, Alexandria).

Properties
V in Å³/atom: 13.610
Space group: No. 123
Density in g/cm3: 4.45
Formation energy (no corrections) in eV per atom: -1.697

Structure (CIF):
```
data_SrNb2O8
_cell_length_a 4.871
_cell_length_b 4.871
_cell_length_c 6.309
_cell_angle_alpha 90.00
_cell_angle_beta 90.00
_cell_angle_gamma 90.00
_space_group_name_H-M_alt 'P 1'
_space_group_IT_number 1
_space_group_name_Hall 'P 1'
loop_
_atom_site_label
_atom_site_fract_x
_atom_site_fract_y
_atom_site_fract_z
_atom_site_occupancy
Sr1 0.000 0.000 0.000 1
Nb1 0.000 0.500 0.500 1
Nb2 0.500 0.000 0.500 1
O1 0.249 0.249 0.305 1
O2 0.249 0.249 0.695 1
O3 0.249 0.751 0.305 1
O4 0.249 0.751 0.695 1
O5 0.751 0.249 0.305 1
O6 0.751 0.249 0.695 1
O7 0.751 0.751 0.305 1
O8 0.751 0.751 0.695 1
```


(2)
# Re3OsPb

A geometry-optimized Re3OsPb structure (GGA-PBE, Alexandria).

Properties
V in Å³/atom: 21.991
Space group: No. 221
Density in g/cm3: 14.44
ΔH_f (0 K) in meV/atom: 2041
ΔE to the lowest computed polymorph in meV/atom: 0.0

Structure (CIF):
```
data_Re3OsPb
_cell_length_a 4.791
_cell_length_b 4.791
_cell_length_c 4.791
_cell_angle_alpha 90.00
_cell_angle_beta 90.00
_cell_angle_gamma 90.00
_space_group_name_H-M_alt 'P 1'
_space_group_IT_number 1
_space_group_name_Hall 'P 1'
loop_
_atom_site_label
_atom_site_fract_x
_atom_site_fract_y
_atom_site_fract_z
_atom_site_occupancy
Re1 0.000 0.000 0.500 1
Re2 0.000 0.500 0.000 1
Re3 0.500 0.000 0.000 1
Os1 0.000 0.000 0.000 1
Pb1 0.500 0.500 0.500 1
```


(3)
# MnCr2P2

A geometry-optimized MnCr2P2 structure (GGA-PBE, Alexandria).

Properties
V in Å³/atom: 12.127
Space group: No. 127
Density in g/cm3: 6.05
ΔH_f (0 K) in meV/atom: -282

Structure (CIF):
```
data_MnCr2P2
_cell_length_a 6.444
_cell_length_b 6.444
_cell_length_c 2.920
_cell_angle_alpha 90.00
_cell_angle_beta 90.00
_cell_angle_gamma 90.00
_space_group_name_H-M_alt 'P 1'
_space_group_IT_number 1
_space_group_name_Hall 'P 1'
loop_
_atom_site_label
_atom_site_fract_x
_atom_site_fract_y
_atom_site_fract_z
_atom_site_occupancy
Mn1 0.000 0.000 0.000 1
Mn2 0.500 0.500 0.000 1
Cr1 0.146 0.354 0.500 1
Cr2 0.354 0.854 0.500 1
Cr3 0.646 0.146 0.500 1
Cr4 0.854 0.646 0.500 1
P1 0.148 0.648 0.000 1
P2 0.352 0.148 0.000 1
P3 0.648 0.852 0.000 1
P4 0.852 0.352 0.000 1
```


(4)
# Pr2HoPdO5

A geometry-optimized Pr2HoPdO5 structure (GGA-PBE, Alexandria).

Properties
V in Å³/atom: 14.526
Space group: No. 127
Density in g/cm3: 8.04
Formation energy (no corrections) in eV per atom: -2.341

Structure (CIF):
```
data_Pr2HoPdO5
_cell_length_a 6.639
_cell_length_b 6.639
_cell_length_c 5.932
_cell_angle_alpha 90.00
_cell_angle_beta 90.00
_cell_angle_gamma 90.00
_space_group_name_H-M_alt 'P 1'
_space_group_IT_number 1
_space_group_name_Hall 'P 1'
loop_
_atom_site_label
_atom_site_fract_x
_atom_site_fract_y
_atom_site_fract_z
_atom_site_occupancy
Pr1 0.162 0.338 0.000 1
Pr2 0.338 0.838 0.000 1
Pr3 0.662 0.162 0.000 1
Pr4 0.838 0.662 0.000 1
Ho1 0.000 0.000 0.500 1
Ho2 0.500 0.500 0.500 1
Pd1 0.000 0.500 0.500 1
Pd2 0.500 0.000 0.500 1
O1 0.000 0.000 0.000 1
O2 0.170 0.670 0.267 1
O3 0.170 0.670 0.733 1
O4 0.330 0.170 0.267 1
O5 0.330 0.170 0.733 1
O6 0.500 0.500 0.000 1
O7 0.670 0.830 0.267 1
O8 0.670 0.830 0.733 1
O9 0.830 0.330 0.267 1
O10 0.830 0.330 0.733 1
```


(5)
# BaCa2Br

A geometry-optimized BaCa2Br structure (GGA-PBE, Alexandria).

Properties
V in Å³/atom: 44.584
Space group: No. 47
Density in g/cm3: 2.77
Formation energy (no corrections) in eV per atom: -0.357

Structure (CIF):
```
data_BaCa2Br
_cell_length_a 4.042
_cell_length_b 6.359
_cell_length_c 6.938
_cell_angle_alpha 90.00
_cell_angle_beta 90.00
_cell_angle_gamma 90.00
_space_group_name_H-M_alt 'P 1'
_space_group_IT_number 1
_space_group_name_Hall 'P 1'
loop_
_atom_site_label
_atom_site_fract_x
_atom_site_fract_y
_atom_site_fract_z
_atom_site_occupancy
Ba1 0.000 0.000 0.000 1
Ca1 0.500 0.500 0.247 1
Ca2 0.500 0.500 0.753 1
Br1 0.000 0.000 0.500 1
```


(6)
# CdMoSe2

A geometry-optimized CdMoSe2 structure (GGA-PBE, Alexandria).

Properties
V in Å³/atom: 21.937
Space group: No. 160
Density in g/cm3: 6.93
Formation energy (no corrections) in eV per atom: 0.030
ΔE to the lowest computed polymorph in meV/atom: 329.9

Structure (CIF):
```
data_CdMoSe2
_cell_length_a 10.510
_cell_length_b 10.510
_cell_length_c 10.510
_cell_angle_alpha 17.12
_cell_angle_beta 17.12
_cell_angle_gamma 17.12
_space_group_name_H-M_alt 'P 1'
_space_group_IT_number 1
_space_group_name_Hall 'P 1'
loop_
_atom_site_label
_atom_site_fract_x
_atom_site_fract_y
_atom_site_fract_z
_atom_site_occupancy
Cd1 0.000 0.000 0.000 1
Mo1 0.744 0.744 0.744 1
Se1 0.255 0.255 0.255 1
Se2 0.466 0.466 0.466 1
```